The following is a GGA-PBE calculation of a relaxed KCa2NiPb crystal, from the Alexandria database.

The space group is P4/mmm (No. 123) and the conventional cell measures 5.636, 5.636 and 5.089 Å, with angles of 90.00, 90.00 and 90.00 degrees. Symmetry generates all atoms from K at (0.000, 0.000, 0.000), Ca at (0.000, 0.500, 0.500), Ni at (0.500, 0.500, 0.500) and Pb at (0.500, 0.500, 0.000).

The formation enthalpy at 0 K is -0.096 eV per atom. The total DFT energy (no corrections) comes out at -3.014 eV per atom.